# 1
# InSb5

A geometry-optimized InSb5 structure (PBE, the Alexandria database).

a = 6.610 Å, b = 6.610 Å, c = 5.067 Å
α = 90.00°, β = 90.00°, γ = 120.00°
Atoms (fractional coordinates):
In 0.000 0.000 0.000
Sb 0.000 0.500 0.500
Sb 0.333 0.667 0.000
Sb 0.500 0.000 0.500
Sb 0.500 0.500 0.500
Sb 0.667 0.333 0.000

Output
energy above the lowest structure with this stoichiometry	0.129	eV/atom
formation energy without anion corrections	294	meV/atom
Fermi-level density of states	2.9	states/eV per cell

# 2
# In5Sb

A geometry-optimized In5Sb structure (PBE, the Alexandria database).

a = 6.473 Å, b = 6.473 Å, c = 6.515 Å
α = 90.65°, β = 90.65°, γ = 38.27°
Atoms (fractional coordinates):
In 0.000 0.000 0.000
In 0.003 0.003 0.498
In 0.339 0.339 0.745
In 0.652 0.652 0.758
In 0.672 0.672 0.257
Sb 0.354 0.354 0.250

Output
energy above the lowest structure with this stoichiometry	0.016	eV/atom
formation energy without anion corrections	34	meV/atom
Fermi-level density of states	2.7	states/eV per cell

# 3
# InSb

A geometry-optimized InSb structure (PBE, the Alexandria database).

a = 6.481 Å, b = 8.099 Å, c = 9.435 Å
α = 90.00°, β = 90.00°, γ = 90.00°
Atoms (fractional coordinates):
In 0.062 0.210 0.242
In 0.063 0.571 0.607
In 0.437 0.429 0.107
In 0.438 0.790 0.742
In 0.562 0.290 0.758
In 0.563 0.929 0.393
In 0.937 0.071 0.893
In 0.938 0.710 0.258
Sb 0.095 0.415 0.892
Sb 0.248 0.127 0.534
Sb 0.252 0.873 0.034
Sb 0.405 0.585 0.392
Sb 0.595 0.085 0.108
Sb 0.748 0.373 0.466
Sb 0.752 0.627 0.966
Sb 0.905 0.915 0.608

Output
formation energy without anion corrections	40	meV/atom
Fermi-level density of states	4.5	states/eV per cell

# 4
# InSb2

A geometry-optimized InSb2 structure (PBE, the Alexandria database).

a = 6.378 Å, b = 6.378 Å, c = 6.378 Å
α = 60.00°, β = 60.00°, γ = 60.00°
Atoms (fractional coordinates):
In 0.125 0.125 0.125
In 0.875 0.875 0.875
Sb 0.000 0.500 0.500
Sb 0.500 0.000 0.500
Sb 0.500 0.500 0.000
Sb 0.500 0.500 0.500

Output
formation energy without anion corrections	209	meV/atom
Fermi-level density of states	4.5	states/eV per cell

Fermi-level density of states of number 4 (InSb2)?
4.5 states/eV per cell